1.
Density functional theory data (PBE) for a geometry-optimized Na2TlHg9 structure.

a = 10.709 Å, b = 10.709 Å, c = 3.274 Å
α = 90.00°, β = 90.00°, γ = 120.00°
Element x y z (fractional)
Na 0.333 0.667 0.000
Na 0.667 0.333 0.000
Tl 0.000 0.000 0.000
Hg 0.000 0.500 0.000
Hg 0.175 0.350 0.500
Hg 0.175 0.825 0.500
Hg 0.350 0.175 0.500
Hg 0.500 0.000 0.000
Hg 0.500 0.500 0.000
Hg 0.650 0.825 0.500
Hg 0.825 0.175 0.500
Hg 0.825 0.650 0.500

Properties
energy relative to the elements = -0.0938 eV/atom
V = 325.1 Å³/f.u.

2.
Density functional theory data (PBE) for a geometry-optimized Ac3Pr3In2 structure.

a = 6.945 Å, b = 6.945 Å, c = 17.783 Å
α = 90.00°, β = 90.00°, γ = 135.66°
Element x y z (fractional)
Ac 0.052 0.948 0.609
Ac 0.052 0.948 0.891
Ac 0.321 0.679 0.750
Ac 0.679 0.321 0.250
Ac 0.948 0.052 0.109
Ac 0.948 0.052 0.391
Pr 0.365 0.635 0.538
Pr 0.365 0.635 0.962
Pr 0.400 0.600 0.250
Pr 0.600 0.400 0.750
Pr 0.635 0.365 0.038
Pr 0.635 0.365 0.462
In 0.232 0.768 0.118
In 0.232 0.768 0.382
In 0.768 0.232 0.618
In 0.768 0.232 0.882

Properties
energy relative to the elements = -0.1514 eV/atom
V = 299.7 Å³/f.u.

3.
Density functional theory data (PBE) for a geometry-optimized Tb6Pt2Se3S structure.

a = 7.002 Å, b = 7.002 Å, c = 7.319 Å
α = 99.08°, β = 99.08°, γ = 120.10°
Element x y z (fractional)
Tb 0.084 0.422 0.768
Tb 0.240 0.240 0.236
Tb 0.422 0.084 0.768
Tb 0.578 0.916 0.232
Tb 0.760 0.760 0.764
Tb 0.916 0.578 0.232
Pt 0.167 0.833 0.000
Pt 0.833 0.167 0.000
Se 0.000 0.000 0.500
Se 0.337 0.663 0.500
Se 0.663 0.337 0.500
S 0.500 0.500 0.000

Properties
formation energy from raw total energies = -1.624 eV per atom
V = 294.5 Å³/f.u.

4.
Density functional theory data (PBE) for a geometry-optimized Na3Sr2I7 structure.

a = 14.925 Å, b = 14.925 Å, c = 8.619 Å
α = 90.00°, β = 90.00°, γ = 32.45°
Element x y z (fractional)
Na 0.060 0.549 0.633
Na 0.224 0.776 0.500
Na 0.451 0.940 0.633
Na 0.549 0.060 0.133
Na 0.776 0.224 0.000
Na 0.940 0.451 0.133
Sr 0.150 0.635 0.046
Sr 0.365 0.850 0.046
Sr 0.635 0.150 0.546
Sr 0.850 0.365 0.546
I 0.078 0.206 0.855
I 0.128 0.872 0.139
I 0.186 0.391 0.980
I 0.206 0.078 0.355
I 0.318 0.526 0.700
I 0.391 0.186 0.480
I 0.474 0.682 0.700
I 0.526 0.318 0.200
I 0.609 0.814 0.980
I 0.682 0.474 0.200
I 0.794 0.922 0.855
I 0.814 0.609 0.480
I 0.872 0.128 0.639
I 0.922 0.794 0.355

Properties
formation energy from raw total energies = -1.450 eV per atom
V = 515.1 Å³/f.u.